# 1
The following is a PBE calculation of crystalline Nd3Cd2Pd3 at its relaxed geometry, from Alexandria via LeMat-Bulk.

Output
For the energy relative to the elements, the calculation gives -0.621 eV/atom. The space group is No. 193.

a b c (Å): 8.6611 8.6611 5.9022
angles (deg): 90.00 90.00 120.00
Last column: nearest neighbours and their distance in Å.
Fractional positions:
Nd1 0.0000 0.2748 0.2500  5 Pd 2.91-3.11
Nd2 0.0000 0.7252 0.7500  5 Pd 2.91-3.11
Nd3 0.2748 0.0000 0.2500  5 Pd 2.91-3.11
Nd4 0.2748 0.2748 0.7500  5 Pd 2.91-3.11
Nd5 0.7252 0.0000 0.7500  5 Pd 2.91-3.11
Nd6 0.7252 0.7252 0.2500  5 Pd 2.91-3.11
Cd1 0.3333 0.6667 0.0000  2 Cd 2.95, 6 Pd 3.06
Cd2 0.3333 0.6667 0.5000  2 Cd 2.95, 6 Pd 3.06
Cd3 0.6667 0.3333 0.0000  2 Cd 2.95, 6 Pd 3.06
Cd4 0.6667 0.3333 0.5000  2 Cd 2.95, 6 Pd 3.06
Pd1 0.0000 0.3888 0.7500  5 Nd 2.91-3.11, 4 Cd 3.06
Pd2 0.0000 0.6112 0.2500  5 Nd 2.91-3.11, 4 Cd 3.06
Pd3 0.3888 0.0000 0.7500  5 Nd 2.91-3.11, 4 Cd 3.06
Pd4 0.3888 0.3888 0.2500  5 Nd 2.91-3.11, 4 Cd 3.06
Pd5 0.6112 0.0000 0.2500  5 Nd 2.91-3.11, 4 Cd 3.06
Pd6 0.6112 0.6112 0.7500  5 Nd 2.91-3.11, 4 Cd 3.06

# 2
The following is a PBE calculation of crystalline NdCd3Pd2 at its relaxed geometry, from Alexandria via LeMat-Bulk.

Output
For the energy relative to the elements, the calculation gives -0.420 eV/atom. The space group is No. 12.

a b c (Å): 9.7030 9.7030 10.8148
angles (deg): 105.14 105.14 24.10
Last column: nearest neighbours and their distance in Å.
Fractional positions:
Nd1 0.0000 0.0000 0.0000  4 Pd 3.11, 4 Cd 3.46
Nd2 0.1560 0.1560 0.7143  6 Pd 3.06-3.41, 2 Cd 3.40
Nd3 0.8440 0.8440 0.2857  6 Pd 3.06-3.41, 2 Cd 3.40
Cd1 0.0476 0.0476 0.3412  4 Pd 2.78-2.89, 5 Cd 2.95-3.06
Cd2 0.2137 0.2137 0.4042  4 Pd 2.72-2.81, 3 Cd 2.96-3.04
Cd3 0.3280 0.3280 0.0270  4 Pd 2.76-2.81, 1 Cd 2.94
Cd4 0.3755 0.3755 0.7899  4 Pd 2.88-3.03, 5 Cd 2.94-3.08
Cd5 0.5000 0.5000 0.5000  2 Pd 2.64, 4 Cd 2.95
Cd6 0.6245 0.6245 0.2101  4 Pd 2.88-3.03, 5 Cd 2.94-3.08
Cd7 0.6720 0.6720 0.9730  4 Pd 2.76-2.81, 1 Cd 2.94
Cd8 0.7863 0.7863 0.5958  4 Pd 2.72-2.81, 3 Cd 2.96-3.04
Cd9 0.9524 0.9524 0.6588  4 Pd 2.78-2.89, 5 Cd 2.95-3.06
Pd1 0.2196 0.2196 0.1559  6 Cd 2.72-2.88
Pd2 0.3616 0.3616 0.5043  6 Cd 2.64-2.89
Pd3 0.4659 0.4659 0.1946  4 Cd 2.76-2.97
Pd4 0.5341 0.5341 0.8054  4 Cd 2.76-2.97
Pd5 0.6384 0.6384 0.4957  6 Cd 2.64-2.89
Pd6 0.7804 0.7804 0.8441  6 Cd 2.72-2.88

# 3
The following is a PBE calculation of crystalline NdCd2Pd9 at its relaxed geometry, from Alexandria via LeMat-Bulk.

Output
For the energy relative to the elements, the calculation gives -0.400 eV/atom. The space group is No. 123.

a b c (Å): 4.1051 4.1051 12.1995
angles (deg): 90.00 90.00 90.00
Last column: nearest neighbours and their distance in Å.
Fractional positions:
Nd1 0.0000 0.0000 0.0000  12 Pd 2.90-2.97
Cd1 0.0000 0.0000 0.3396  12 Pd 2.84-2.90
Cd2 0.0000 0.0000 0.6604  12 Pd 2.84-2.90
Pd1 0.0000 0.5000 0.1765  8 Pd 2.84-2.97, 2 Cd 2.86, 2 Nd 2.97
Pd2 0.0000 0.5000 0.5000  4 Cd 2.84, 8 Pd 2.86-2.90
Pd3 0.0000 0.5000 0.8235  8 Pd 2.84-2.97, 2 Cd 2.86, 2 Nd 2.97
Pd4 0.5000 0.0000 0.1765  8 Pd 2.84-2.97, 2 Cd 2.86, 2 Nd 2.97
Pd5 0.5000 0.0000 0.5000  4 Cd 2.84, 8 Pd 2.86-2.90
Pd6 0.5000 0.0000 0.8235  8 Pd 2.84-2.97, 2 Cd 2.86, 2 Nd 2.97
Pd7 0.5000 0.5000 0.0000  4 Nd 2.90, 8 Pd 2.97
Pd8 0.5000 0.5000 0.3371  8 Pd 2.84-2.86, 4 Cd 2.90
Pd9 0.5000 0.5000 0.6629  8 Pd 2.84-2.86, 4 Cd 2.90

# 4
The following is a PBE calculation of crystalline Nd3Cd3Pd8 at its relaxed geometry, from Alexandria via LeMat-Bulk.

Output
For the energy relative to the elements, the calculation gives -0.551 eV/atom. The space group is No. 71.

a b c (Å): 8.5916 8.5916 8.5916
angles (deg): 149.05 115.04 73.69
Last column: nearest neighbours and their distance in Å.
Fractional positions:
Nd1 0.0000 0.0000 0.0000  4 Pd 2.99
Nd2 0.2930 0.2930 0.0000  10 Pd 3.05-3.34
Nd3 0.7070 0.7070 0.0000  10 Pd 3.05-3.34
Cd1 0.2737 0.5000 0.7737  6 Pd 2.82, 2 Cd 3.10
Cd2 0.5000 0.0000 0.5000  4 Pd 2.67
Cd3 0.7263 0.5000 0.2263  6 Pd 2.82, 2 Cd 3.10
Pd1 0.0376 0.6872 0.3504  4 Pd 2.72-2.76, 1 Cd 2.82, 2 Nd 3.05
Pd2 0.1528 0.8811 0.2717  3 Cd 2.67-2.82, 3 Pd 2.72-2.76
Pd3 0.3368 0.6872 0.6496  4 Pd 2.72-2.76, 1 Cd 2.82, 2 Nd 3.05
Pd4 0.3906 0.1189 0.2717  3 Cd 2.67-2.82, 3 Pd 2.72-2.76
Pd5 0.6094 0.8811 0.7283  3 Cd 2.67-2.82, 3 Pd 2.72-2.76
Pd6 0.6632 0.3128 0.3504  4 Pd 2.72-2.76, 1 Cd 2.82, 2 Nd 3.05
Pd7 0.8472 0.1189 0.7283  3 Cd 2.67-2.82, 3 Pd 2.72-2.76
Pd8 0.9624 0.3128 0.6496  4 Pd 2.72-2.76, 1 Cd 2.82, 2 Nd 3.05

# 5
The following is a PBE calculation of crystalline NdCd2Pd at its relaxed geometry, from Alexandria via LeMat-Bulk.

Output
For the energy relative to the elements, the calculation gives 0.042 eV/atom. The space group is No. 166.

a b c (Å): 10.7726 10.7726 10.7726
angles (deg): 17.35 17.35 17.35
Last column: nearest neighbours and their distance in Å.
Fractional positions:
Nd1 0.0000 0.0000 0.0000  2 Cd 3.21, 6 Nd 3.25
Cd1 0.1009 0.1009 0.1009  3 Pd 2.81
Cd2 0.8991 0.8991 0.8991  3 Pd 2.81
Pd1 0.5000 0.5000 0.5000  6 Cd 2.81

# 6
The following is a PBE calculation of crystalline NdCd2Pd5 at its relaxed geometry, from Alexandria via LeMat-Bulk.

Output
For the energy relative to the elements, the calculation gives -0.555 eV/atom. The space group is No. 12.

a b c (Å): 8.5423 8.5423 4.2570
angles (deg): 104.37 104.37 28.86
Last column: nearest neighbours and their distance in Å.
Fractional positions:
Nd1 0.0000 0.0000 0.0000  12 Pd 2.98-3.01
Cd1 0.2525 0.2525 0.2526  8 Pd 2.83-2.89, 4 Cd 3.01
Cd2 0.7475 0.7475 0.7474  8 Pd 2.83-2.89, 4 Cd 3.01
Pd1 0.1307 0.1307 0.6307  4 Cd 2.83-2.89, 2 Nd 2.98-2.99, 6 Pd 2.98-3.01
Pd2 0.3693 0.3693 0.8693  4 Cd 2.83-2.89, 6 Pd 2.98-3.01, 2 Nd 2.98
Pd3 0.5000 0.5000 0.5000  8 Pd 2.98-2.99, 4 Nd 3.01
Pd4 0.6307 0.6307 0.1307  4 Cd 2.83-2.89, 6 Pd 2.98-3.01, 2 Nd 2.98
Pd5 0.8693 0.8693 0.3693  4 Cd 2.83-2.89, 2 Nd 2.98-2.99, 6 Pd 2.98-3.01

# 7
The following is a PBE calculation of crystalline NdCd4Pd2 at its relaxed geometry, from Alexandria via LeMat-Bulk.

Output
The energy above the lowest structure with this stoichiometry is 49 meV/atom. For the energy relative to the elements, the calculation gives -0.372 eV/atom. The space group is No. 65.

a b c (Å): 9.2042 9.2042 3.9522
angles (deg): 90.00 90.00 152.47
Last column: nearest neighbours and their distance in Å.
Fractional positions:
Nd1 0.0000 0.0000 0.0000  8 Pd 3.23
Cd1 0.1714 0.8286 0.5000  2 Pd 2.80, 4 Cd 2.96
Cd2 0.3141 0.6859 0.0000  2 Pd 2.81, 4 Cd 2.96
Cd3 0.6859 0.3141 0.0000  2 Pd 2.81, 4 Cd 2.96
Cd4 0.8286 0.1714 0.5000  2 Pd 2.80, 4 Cd 2.96
Pd1 0.4261 0.5739 0.5000  1 Pd 2.64, 4 Cd 2.80-2.81
Pd2 0.5739 0.4261 0.5000  1 Pd 2.64, 4 Cd 2.80-2.81

# 8
The following is a PBE calculation of crystalline NdCd3Pd7 at its relaxed geometry, from Alexandria via LeMat-Bulk.

Output
For the energy relative to the elements, the calculation gives -0.259 eV/atom. The space group is No. 12.

a b c (Å): 6.5444 6.5444 5.4493
angles (deg): 105.07 105.07 93.45
Last column: nearest neighbours and their distance in Å.
Fractional positions:
Nd1 0.0000 0.0000 0.0000  8 Pd 2.72-2.97
Cd1 0.2829 0.7171 0.5000  7 Pd 2.70-2.79
Cd2 0.5000 0.5000 0.0000  6 Pd 2.74-2.79
Cd3 0.7171 0.2829 0.5000  7 Pd 2.70-2.79
Pd1 0.0000 0.0000 0.5000  2 Cd 2.70, 2 Pd 2.72, 2 Nd 2.72
Pd2 0.0812 0.5517 0.8121  3 Cd 2.74-2.79, 3 Pd 2.75-2.92, 1 Nd 2.97
Pd3 0.2947 0.2947 0.4664  5 Pd 2.72-2.92, 3 Cd 2.73-2.79, 1 Nd 2.89
Pd4 0.4483 0.9188 0.1879  3 Cd 2.74-2.79, 3 Pd 2.75-2.92, 1 Nd 2.97
Pd5 0.5517 0.0812 0.8121  3 Cd 2.74-2.79, 3 Pd 2.75-2.92, 1 Nd 2.97
Pd6 0.7053 0.7053 0.5336  5 Pd 2.72-2.92, 3 Cd 2.73-2.79, 1 Nd 2.89
Pd7 0.9188 0.4483 0.1879  3 Cd 2.74-2.79, 3 Pd 2.75-2.92, 1 Nd 2.97

# 9
The following is a PBE calculation of crystalline Nd6Cd5Pd at its relaxed geometry, from Alexandria via LeMat-Bulk.

Output
For the energy relative to the elements, the calculation gives -0.381 eV/atom. The space group is No. 12.

a b c (Å): 9.3230 9.3230 5.3813
angles (deg): 106.72 106.72 48.59
Last column: nearest neighbours and their distance in Å.
Fractional positions:
Nd1 0.0795 0.6028 0.3415  1 Pd 3.15, 7 Cd 3.25-3.36
Nd2 0.2335 0.7665 0.0000  2 Pd 3.23, 6 Cd 3.38-3.44, 1 Nd 3.58
Nd3 0.3972 0.9205 0.6585  1 Pd 3.15, 7 Cd 3.25-3.36
Nd4 0.6028 0.0795 0.3415  1 Pd 3.15, 7 Cd 3.25-3.36
Nd5 0.7665 0.2335 0.0000  2 Pd 3.23, 6 Cd 3.38-3.44, 1 Nd 3.58
Nd6 0.9205 0.3972 0.6585  1 Pd 3.15, 7 Cd 3.25-3.36
Cd1 0.1819 0.1819 0.1816  8 Nd 3.26-3.44, 2 Cd 3.62-3.63
Cd2 0.3322 0.3322 0.8330  8 Nd 3.34-3.39, 2 Cd 3.62-3.63
Cd3 0.5000 0.5000 0.5000  8 Nd 3.25-3.38
Cd4 0.6678 0.6678 0.1670  8 Nd 3.34-3.39, 2 Cd 3.62-3.63
Cd5 0.8181 0.8181 0.8184  8 Nd 3.26-3.44, 2 Cd 3.62-3.63
Pd1 0.0000 0.0000 0.5000  8 Nd 3.15-3.23

# 10
The following is a PBE calculation of crystalline NdCd5Pd3 at its relaxed geometry, from Alexandria via LeMat-Bulk.

Output
For the energy relative to the elements, the calculation gives -0.321 eV/atom. The space group is No. 63.

a b c (Å): 7.5771 7.5771 14.3873
angles (deg): 90.00 90.00 152.04
Last column: nearest neighbours and their distance in Å.
Fractional positions:
Nd1 0.1524 0.8476 0.7500  6 Pd 3.04
Nd2 0.8476 0.1524 0.2500  6 Pd 3.04
Cd1 0.0000 0.0000 0.0000  4 Pd 2.82, 6 Cd 2.99-3.00
Cd2 0.0000 0.0000 0.5000  4 Pd 2.82, 6 Cd 2.99-3.00
Cd3 0.1951 0.8049 0.0580  4 Pd 2.74-2.96, 5 Cd 2.96-3.05
Cd4 0.1951 0.8049 0.4420  4 Pd 2.74-2.96, 5 Cd 2.96-3.05
Cd5 0.4416 0.5584 0.6537  5 Cd 2.77-3.05, 3 Pd 2.81-2.93
Cd6 0.4416 0.5584 0.8463  5 Cd 2.77-3.05, 3 Pd 2.81-2.93
Cd7 0.5584 0.4416 0.1537  5 Cd 2.77-3.05, 3 Pd 2.81-2.93
Cd8 0.5584 0.4416 0.3463  5 Cd 2.77-3.05, 3 Pd 2.81-2.93
Cd9 0.8049 0.1951 0.5580  4 Pd 2.74-2.96, 5 Cd 2.96-3.05
Cd10 0.8049 0.1951 0.9420  4 Pd 2.74-2.96, 5 Cd 2.96-3.05
Pd1 0.1825 0.8175 0.2500  6 Cd 2.77-2.93, 2 Nd 3.04
Pd2 0.3795 0.6205 0.0847  6 Cd 2.74-2.96, 2 Nd 3.04
Pd3 0.3795 0.6205 0.4153  6 Cd 2.74-2.96, 2 Nd 3.04
Pd4 0.6205 0.3795 0.5847  6 Cd 2.74-2.96, 2 Nd 3.04
Pd5 0.6205 0.3795 0.9153  6 Cd 2.74-2.96, 2 Nd 3.04
Pd6 0.8175 0.1825 0.7500  6 Cd 2.77-2.93, 2 Nd 3.04

no.,total DFT energy (no corrections) (eV for the cell shown)
1,-73.4
2,-61.3
3,-58.1
4,-66.3
5,-11.6
6,-37.0
7,-21.4
8,-46.7
9,-42.9
10,-55.6